(1)
## NbCrTc (PBE)

Data for crystalline NbCrTc at its relaxed geometry.

Cell: 3.1117 4.4537 12.8953 Å, 90.00 90.00 90.00°
With the nearest neighbours (Å) after each atom.
Fractional positions:
1 Cr 0.0000 0.0000 0.2865  2 Tc 2.51, 2 Nb 2.67, 4 Cr 2.72
2 Cr 0.0000 0.5000 0.7865  2 Tc 2.51, 2 Nb 2.67, 4 Cr 2.72
3 Cr 0.5000 0.0000 0.7865  2 Tc 2.51, 2 Nb 2.67, 4 Cr 2.72
4 Cr 0.5000 0.5000 0.2865  2 Tc 2.51, 2 Nb 2.67, 4 Cr 2.72
5 Nb 0.0000 0.0000 0.9548  2 Cr 2.67, 4 Nb 2.72, 2 Tc 2.79
6 Nb 0.0000 0.5000 0.4548  2 Cr 2.67, 4 Nb 2.72, 2 Tc 2.79
7 Nb 0.5000 0.0000 0.4548  2 Cr 2.67, 4 Nb 2.72, 2 Tc 2.79
8 Nb 0.5000 0.5000 0.9548  2 Cr 2.67, 4 Nb 2.72, 2 Tc 2.79
9 Tc 0.0000 0.0000 0.6342  2 Cr 2.51, 4 Tc 2.72, 2 Nb 2.79
10 Tc 0.0000 0.5000 0.1342  2 Cr 2.51, 4 Tc 2.72, 2 Nb 2.79
11 Tc 0.5000 0.0000 0.1342  2 Cr 2.51, 4 Tc 2.72, 2 Nb 2.79
12 Tc 0.5000 0.5000 0.6342  2 Cr 2.51, 4 Tc 2.72, 2 Nb 2.79

Output
The size of the total moment is 0.00 Bohr magnetons per cell. The space group is Fmm2 (42). As for the total energy: -0.366 hartree per atom.

=====

(2)
## Ca5HgBi6 (PBE)

Data for crystalline Ca5HgBi6 at its relaxed geometry.

Cell: 5.1026 9.4118 9.4111 Å, 111.07 105.69 105.70°
With the nearest neighbours (Å) after each atom.
Fractional positions:
1 Ca 0.5000 0.1388 0.8612  8 Bi 3.32-3.71, 2 Hg 3.34
2 Ca 0.0000 0.3276 0.6724  8 Bi 3.40-3.43, 2 Ca 3.70
3 Ca 0.5000 0.5000 0.5000  8 Bi 3.34-3.52, 4 Ca 3.70
4 Ca 0.0000 0.6724 0.3276  8 Bi 3.40-3.43, 2 Ca 3.70
5 Ca 0.5000 0.8612 0.1388  8 Bi 3.32-3.71, 2 Hg 3.34
6 Hg 0.0000 0.0000 0.0000  4 Ca 3.34, 8 Bi 3.59-3.60
7 Bi 0.2569 0.0841 0.4293  7 Ca 3.40-3.71, 4 Bi 3.51-3.70, 1 Hg 3.60
8 Bi 0.7431 0.5707 0.9159  7 Ca 3.40-3.71, 4 Bi 3.50-3.70, 1 Hg 3.60
9 Bi 0.7706 0.2700 0.2700  6 Ca 3.32-3.43, 2 Hg 3.59, 4 Bi 3.70
10 Bi 0.2294 0.7300 0.7300  6 Ca 3.32-3.43, 2 Hg 3.59, 4 Bi 3.70
11 Bi 0.2569 0.4293 0.0841  7 Ca 3.40-3.71, 4 Bi 3.50-3.70, 1 Hg 3.60
12 Bi 0.7431 0.9159 0.5707  7 Ca 3.40-3.71, 4 Bi 3.51-3.70, 1 Hg 3.60

Output
The size of the total moment is 0.00 Bohr magnetons per cell. The space group is C2/m (12). As for the total energy: -0.126 hartree per atom.

=====

(3)
## TiGe3Pd (PBE)

Data for crystalline TiGe3Pd at its relaxed geometry.

Cell: 4.8461 4.8461 4.8461 Å, 90.00 90.00 90.00°
With the nearest neighbours (Å) after each atom.
Fractional positions:
1 Ge 0.0000 0.5000 0.0000  2 Ti 2.42
2 Ge 0.0000 0.0000 0.5000  2 Ti 2.42
3 Ge 0.5000 0.0000 0.0000  2 Ti 2.42
4 Pd 0.5000 0.5000 0.5000  12 Ge 3.43
5 Ti 0.0000 0.0000 0.0000  6 Ge 2.42

Output
The size of the total moment is 0.00 Bohr magnetons per cell. The space group is Pm-3m (221). As for the total energy: -0.180 hartree per atom.

=====

(4)
## CsTe2W (PBE)

Data for crystalline CsTe2W at its relaxed geometry.

Cell: 11.1727 11.1727 11.1727 Å, 19.47 19.47 19.47°
With the nearest neighbours (Å) after each atom.
Fractional positions:
1 Cs 0.0000 0.0000 0.0000  2 Te 3.75, 6 Cs 3.78
2 Te 0.8860 0.8860 0.8860  3 W 2.78
3 Te 0.1140 0.1140 0.1140  3 W 2.78
4 W 0.5000 0.5000 0.5000  6 Te 2.78

Output
The size of the total moment is 0.80 Bohr magnetons per cell. The space group is R-3m (166). As for the formation energy (no corrections): 0.221 eV/atom.

=====

(5)
## Hg2GeSb (PBE)

Data for crystalline Hg2GeSb at its relaxed geometry.

Cell: 7.0132 7.0132 7.0282 Å, 60.07 60.07 90.00°
With the nearest neighbours (Å) after each atom.
Fractional positions:
1 Sb 0.0000 0.0000 0.0000  4 Hg 2.87
2 Sb 0.7500 0.2500 0.5000  4 Hg 2.87
3 Ge 0.5000 0.5000 0.0000  4 Hg 2.69
4 Ge 0.2500 0.7500 0.5000  4 Hg 2.69
5 Hg 0.6048 0.1250 0.2500  2 Ge 2.69, 2 Sb 2.87
6 Hg 0.1452 0.6250 0.2500  2 Ge 2.69, 2 Sb 2.87
7 Hg 0.3750 0.3952 0.7500  2 Ge 2.69, 2 Sb 2.87
8 Hg 0.8750 0.8548 0.7500  2 Ge 2.69, 2 Sb 2.87

Output
The size of the total moment is 0.00 Bohr magnetons per cell. The space group is I-42d (122). As for the formation energy (no corrections): 0.371 eV/atom.

=====

Short version: D(E_F) = 0.812 0.369 0.907 0.900 0.838 states/eV per atom, in the order given.